A plane-wave DFT calculation with PBE was carried out for MnFe2Re after structural relaxation.

POSCAR file:
```
MnFe2Re
1.0
2.931 0.000 0.000
0.000 4.063 0.000
0.000 0.000 4.161
Mn Fe Re
1 2 1
Direct
0.000 0.000 0.000
0.000 0.500 0.500
0.500 0.000 0.500
0.500 0.500 0.000
```

**E above lowest polymorph**: 67 meV per atom
**Space-group type**: Pmmm (47)
**Total energy**: -9.536 eV per atom
**Energy of formation**: 100 meV/atom



A plane-wave DFT calculation with PBE was carried out for MnFe2Re after structural relaxation.

POSCAR file:
```
MnFe2Re
1.0
2.503 -4.165 0.000
2.503 4.165 0.000
-0.864 0.000 2.408
Mn Fe Re
1 2 1
Direct
0.000 0.000 0.000
0.000 0.500 0.500
0.500 0.000 0.500
0.500 0.500 0.000
```

**E above lowest polymorph**: 66 meV per atom
**Space-group type**: C2/m (12)
**Total energy**: -9.537 eV per atom
**Energy of formation**: 99 meV/atom



A plane-wave DFT calculation with PBE was carried out for MnFeRe2 after structural relaxation.

POSCAR file:
```
MnFeRe2
1.0
0.000 2.971 2.971
2.971 0.000 2.971
2.971 2.971 0.000
Mn Fe Re
1 1 2
Direct
0.000 0.000 0.000
0.500 0.500 0.500
0.250 0.250 0.250
0.750 0.750 0.750
```

**E above lowest polymorph**: 164 meV per atom
**Space-group type**: Fm-3m (225)
**Total energy**: -10.426 eV per atom
**Energy of formation**: 206 meV/atom



A plane-wave DFT calculation with PBE was carried out for MnFeRe2 after structural relaxation.

POSCAR file:
```
MnFeRe2
1.0
-1.541 2.109 4.192
1.541 -2.109 4.192
1.541 2.109 -4.192
Mn Fe Re
1 1 2
Direct
0.000 0.000 0.000
0.500 0.500 0.000
0.252 0.752 0.500
0.748 0.248 0.500
```

**E above lowest polymorph**: 90 meV per atom
**Space-group type**: Immm (71)
**Total energy**: -10.500 eV per atom
**Energy of formation**: 132 meV/atom



A plane-wave DFT calculation with PBE was carried out for MnFeRe2 after structural relaxation.

POSCAR file:
```
MnFeRe2
1.0
-1.889 1.889 3.726
1.889 -1.889 3.726
1.889 1.889 -3.726
Mn Fe Re
1 1 2
Direct
0.000 0.000 0.000
0.750 0.250 0.500
0.250 0.750 0.500
0.500 0.500 0.000
```

**E above lowest polymorph**: 0 meV per atom
**Space-group type**: I-4m2 (119)
**Total energy**: -10.590 eV per atom
**Energy of formation**: 42 meV/atom



A plane-wave DFT calculation with PBE was carried out for MnFeRe2 after structural relaxation.

POSCAR file:
```
MnFeRe2
1.0
1.337 0.772 8.548
-1.337 0.772 8.548
0.000 -1.544 8.548
Mn Fe Re
1 1 2
Direct
0.000 0.000 0.000
0.500 0.500 0.500
0.250 0.250 0.250
0.750 0.750 0.750
```

**E above lowest polymorph**: 110 meV per atom
**Space-group type**: R-3m (166)
**Total energy**: -10.480 eV per atom
**Energy of formation**: 152 meV/atom



A plane-wave DFT calculation with PBE was carried out for Mn2FeRe2 after structural relaxation.

POSCAR file:
```
Mn2FeRe2
1.0
6.965 0.000 0.000
0.000 6.965 0.000
0.000 0.000 2.745
Mn Fe Re
4 2 4
Direct
0.133 0.367 0.000
0.367 0.867 0.000
0.633 0.133 0.000
0.867 0.633 0.000
0.000 0.000 0.000
0.500 0.500 0.000
0.166 0.666 0.500
0.334 0.166 0.500
0.666 0.834 0.500
0.834 0.334 0.500
```

**Space-group type**: P4/mbm (127)
**Total energy**: -10.062 eV per atom
**Energy of formation**: 278 meV/atom



A plane-wave DFT calculation with PBE was carried out for MnFeRe2 after structural relaxation.

POSCAR file:
```
MnFeRe2
1.0
-1.504 2.104 4.232
1.504 -2.104 4.232
1.504 2.104 -4.232
Mn Fe Re
1 1 2
Direct
0.000 0.000 0.000
0.237 0.737 0.500
0.488 0.488 0.000
0.748 0.248 0.500
```

**E above lowest polymorph**: 54 meV per atom
**Space-group type**: Imm2 (44)
**Total energy**: -10.536 eV per atom
**Energy of formation**: 96 meV/atom



A plane-wave DFT calculation with PBE was carried out for MnFeRe2 after structural relaxation.

POSCAR file:
```
MnFeRe2
1.0
2.660 -3.670 0.000
2.660 3.670 0.000
0.000 0.000 2.656
Mn Fe Re
1 1 2
Direct
0.000 0.000 0.000
0.500 0.500 0.000
0.000 0.500 0.500
0.500 0.000 0.500
```

**E above lowest polymorph**: 21 meV per atom
**Space-group type**: Cmmm (65)
**Total energy**: -10.569 eV per atom
**Energy of formation**: 63 meV/atom



A plane-wave DFT calculation with PBE was carried out for MnFe2Re after structural relaxation.

POSCAR file:
```
MnFe2Re
1.0
2.902 0.000 0.000
0.000 2.902 0.000
0.000 0.000 5.889
Mn Fe Re
1 2 1
Direct
0.000 0.000 0.000
0.000 0.000 0.525
0.500 0.500 0.758
0.500 0.500 0.260
```

**E above lowest polymorph**: 17 meV per atom
**Space-group type**: P4mm (99)
**Total energy**: -9.586 eV per atom
**Energy of formation**: 49 meV/atom



A plane-wave DFT calculation with PBE was carried out for MnFe2Re after structural relaxation.

POSCAR file:
```
MnFe2Re
1.0
0.000 2.909 2.909
2.909 0.000 2.909
2.909 2.909 0.000
Mn Fe Re
1 2 1
Direct
0.000 0.000 0.000
0.250 0.250 0.250
0.750 0.750 0.750
0.500 0.500 0.500
```

**E above lowest polymorph**: 34 meV per atom
**Space-group type**: Fm-3m (225)
**Total energy**: -9.569 eV per atom
**Energy of formation**: 67 meV/atom



A plane-wave DFT calculation with PBE was carried out for MnFeReRh2 after structural relaxation.

POSCAR file:
```
MnFeReRh2
1.0
4.407 0.000 0.000
0.000 4.407 0.000
0.000 0.000 4.332
Mn Fe Re Rh
1 1 1 2
Direct
0.000 0.000 0.000
0.500 0.500 0.500
0.500 0.500 0.000
0.000 0.500 0.500
0.500 0.000 0.500
```

**Space-group type**: P4/mmm (123)
**Total energy**: -7.319 eV per atom
**Energy of formation**: 1637 meV/atom



A plane-wave DFT calculation with PBE was carried out for MnFeReRh after structural relaxation.

POSCAR file:
```
MnFeReRh
1.0
0.000 3.001 3.001
3.001 0.000 3.001
3.001 3.001 0.000
Mn Fe Re Rh
1 1 1 1
Direct
0.000 0.000 0.000
0.500 0.500 0.500
0.750 0.750 0.750
0.250 0.250 0.250
```

**Space-group type**: F-43m (216)
**Total energy**: -9.296 eV per atom
**Energy of formation**: 62 meV/atom



A plane-wave DFT calculation with PBE was carried out for MnFeReRu after structural relaxation.

POSCAR file:
```
MnFeReRu
1.0
0.000 2.988 2.988
2.988 0.000 2.988
2.988 2.988 0.000
Mn Fe Re Ru
1 1 1 1
Direct
0.000 0.000 0.000
0.500 0.500 0.500
0.250 0.250 0.250
0.750 0.750 0.750
```

**Space-group type**: F-43m (216)
**Total energy**: -9.725 eV per atom
**Energy of formation**: 114 meV/atom



A plane-wave DFT calculation with PBE was carried out for ScMnFeRe after structural relaxation.

POSCAR file:
```
ScMnFeRe
1.0
0.000 3.019 3.019
3.019 0.000 3.019
3.019 3.019 0.000
Sc Mn Fe Re
1 1 1 1
Direct
0.000 0.000 0.000
0.250 0.250 0.250
0.750 0.750 0.750
0.500 0.500 0.500
```

**Space-group type**: F-43m (216)
**Total energy**: -9.100 eV per atom
**Energy of formation**: 3 meV/atom



A plane-wave DFT calculation with PBE was carried out for MnFe2ReSi after structural relaxation.

POSCAR file:
```
MnFe2ReSi
1.0
4.085 0.000 0.000
0.000 4.085 0.000
0.000 0.000 4.217
Mn Fe Re Si
1 2 1 1
Direct
0.000 0.000 0.000
0.000 0.500 0.000
0.500 0.000 0.000
0.500 0.500 0.500
0.000 0.000 0.500
```

**Space-group type**: P4/mmm (123)
**Total energy**: -7.595 eV per atom
**Uncorrected formation energy**: 1.20 eV/atom



A plane-wave DFT calculation with PBE was carried out for Mn2Fe5Re2Si after structural relaxation.

POSCAR file:
```
Mn2Fe5Re2Si
1.0
8.064 0.000 0.000
0.000 8.064 0.000
0.000 0.000 3.701
Mn Fe Re Si
4 10 4 2
Direct
0.131 0.369 0.000
0.369 0.869 0.000
0.631 0.131 0.000
0.869 0.631 0.000
0.000 0.500 0.500
0.070 0.199 0.500
0.199 0.930 0.500
0.301 0.430 0.500
0.430 0.699 0.500
0.500 0.000 0.500
0.570 0.301 0.500
0.699 0.570 0.500
0.801 0.070 0.500
0.930 0.801 0.500
0.163 0.663 0.000
0.337 0.163 0.000
0.663 0.837 0.000
0.837 0.337 0.000
0.000 0.000 0.000
0.500 0.500 0.000
```

**Space-group type**: P4/mbm (127)
**Total energy**: -8.968 eV per atom
**Uncorrected formation energy**: 0.13 eV/atom



A plane-wave DFT calculation with PBE was carried out for Mn5Fe2Re2Si after structural relaxation.

POSCAR file:
```
Mn5Fe2Re2Si
1.0
8.044 0.000 0.000
0.000 8.044 0.000
0.000 0.000 3.700
Mn Fe Re Si
10 4 4 2
Direct
0.000 0.500 0.000
0.069 0.196 0.000
0.196 0.931 0.000
0.304 0.431 0.000
0.431 0.696 0.000
0.500 0.000 0.000
0.569 0.304 0.000
0.696 0.569 0.000
0.804 0.069 0.000
0.931 0.804 0.000
0.131 0.369 0.500
0.369 0.869 0.500
0.631 0.131 0.500
0.869 0.631 0.500
0.164 0.664 0.500
0.336 0.164 0.500
0.664 0.836 0.500
0.836 0.336 0.500
0.000 0.000 0.500
0.500 0.500 0.500
```

**Space-group type**: P4/mbm (127)
**Total energy**: -9.189 eV per atom
**Uncorrected formation energy**: 0.12 eV/atom



A plane-wave DFT calculation with PBE was carried out for TaMnFeRe after structural relaxation.

POSCAR file:
```
TaMnFeRe
1.0
0.000 3.020 3.020
3.020 0.000 3.020
3.020 3.020 0.000
Ta Mn Fe Re
1 1 1 1
Direct
0.000 0.000 0.000
0.750 0.750 0.750
0.250 0.250 0.250
0.500 0.500 0.500
```

**Space-group type**: F-43m (216)
**Total energy**: -10.481 eV per atom
**Energy of formation**: 3 meV/atom



A plane-wave DFT calculation with PBE was carried out for MnFeReTc after structural relaxation.

POSCAR file:
```
MnFeReTc
1.0
0.000 2.998 2.998
2.998 0.000 2.998
2.998 2.998 0.000
Mn Fe Re Tc
1 1 1 1
Direct
0.000 0.000 0.000
0.750 0.750 0.750
0.500 0.500 0.500
0.250 0.250 0.250
```

**Space-group type**: F-43m (216)
**Total energy**: -10.013 eV per atom
**Energy of formation**: 98 meV/atom



A plane-wave DFT calculation with PBE was carried out for Mn2Fe5ReTc2 after structural relaxation.

POSCAR file:
```
Mn2Fe5ReTc2
1.0
8.005 0.000 0.000
0.000 8.005 0.000
0.000 0.000 3.828
Mn Fe Re Tc
4 10 2 4
Direct
0.126 0.374 0.000
0.374 0.874 0.000
0.626 0.126 0.000
0.874 0.626 0.000
0.000 0.500 0.500
0.070 0.203 0.500
0.203 0.930 0.500
0.297 0.430 0.500
0.430 0.703 0.500
0.500 0.000 0.500
0.570 0.297 0.500
0.703 0.570 0.500
0.797 0.070 0.500
0.930 0.797 0.500
0.000 0.000 0.000
0.500 0.500 0.000
0.170 0.670 0.000
0.330 0.170 0.000
0.670 0.830 0.000
0.830 0.330 0.000
```

**Space-group type**: P4/mbm (127)
**Total energy**: -9.185 eV per atom
**Energy of formation**: 198 meV/atom



A plane-wave DFT calculation with PBE was carried out for MnFeRh4 after structural relaxation.

POSCAR file:
```
MnFeRh4
1.0
0.000 3.597 3.597
3.597 0.000 3.597
3.597 3.597 0.000
Mn Fe Rh
1 1 4
Direct
0.000 0.000 0.000
0.250 0.250 0.250
0.125 0.625 0.625
0.625 0.125 0.625
0.625 0.625 0.125
0.625 0.625 0.625
```

**E above lowest polymorph**: 310 meV per atom
**Space-group type**: F-43m (216)
**Total energy**: -7.556 eV per atom
**Energy of formation**: 284 meV/atom



A plane-wave DFT calculation with PBE was carried out for Mn2FeRh2 after structural relaxation.

POSCAR file:
```
Mn2FeRh2
1.0
6.924 0.000 0.000
0.000 6.924 0.000
0.000 0.000 2.657
Mn Fe Rh
4 2 4
Direct
0.117 0.383 0.000
0.383 0.883 0.000
0.617 0.117 0.000
0.883 0.617 0.000
0.000 0.000 0.000
0.500 0.500 0.000
0.178 0.678 0.500
0.322 0.178 0.500
0.678 0.822 0.500
0.822 0.322 0.500
```

**E above lowest polymorph**: 0 meV per atom
**Space-group type**: P4/mbm (127)
**Total energy**: -7.951 eV per atom
**Energy of formation**: 350 meV/atom



A plane-wave DFT calculation with PBE was carried out for MnFeRh2 after structural relaxation.

POSCAR file:
```
MnFeRh2
1.0
4.476 -1.364 0.000
4.476 1.364 0.000
-0.915 0.000 4.414
Mn Fe Rh
1 1 2
Direct
0.000 0.000 0.000
0.753 0.753 0.281
0.252 0.252 0.783
0.500 0.500 0.496
```

**Space-group type**: Cm (8)
**Total energy**: -8.071 eV per atom
**Energy of formation**: 13 meV/atom



A plane-wave DFT calculation with PBE was carried out for MnFeRh2 after structural relaxation.

POSCAR file:
```
MnFeRh2
1.0
2.720 0.000 0.000
0.000 3.651 0.000
0.000 0.000 5.341
Mn Fe Rh
1 1 2
Direct
0.000 0.000 0.000
0.500 0.500 0.744
0.000 0.000 0.516
0.500 0.500 0.232
```

**Space-group type**: Pmm2 (25)
**Total energy**: -8.045 eV per atom
**Energy of formation**: 39 meV/atom



A plane-wave DFT calculation with PBE was carried out for MnFeRh2 after structural relaxation.

POSCAR file:
```
MnFeRh2
1.0
-1.856 1.856 3.903
1.856 -1.856 3.903
1.856 1.856 -3.903
Mn Fe Rh
1 1 2
Direct
0.000 0.000 0.000
0.750 0.250 0.500
0.250 0.750 0.500
0.500 0.500 0.000
```

**Space-group type**: I-4m2 (119)
**Total energy**: -8.095 eV per atom
**Energy of formation**: -11 meV/atom



A plane-wave DFT calculation with PBE was carried out for MnFeRh2 after structural relaxation.

POSCAR file:
```
MnFeRh2
1.0
-1.522 2.221 4.112
1.522 -2.221 4.112
1.522 2.221 -4.112
Mn Fe Rh
1 1 2
Direct
0.000 0.000 0.000
0.500 0.500 0.000
0.255 0.755 0.500
0.745 0.245 0.500
```

**Space-group type**: Immm (71)
**Total energy**: -8.004 eV per atom
**Energy of formation**: 80 meV/atom